A plane-wave DFT calculation with PBE with a Hubbard U was carried out for an optimized crystal structure of YV2PbO8.

Output
- Uncorrected energy: -7.39 eV per atom
- SG: P-3m1 (164)

a = 5.871 Å, b = 5.871 Å, c = 6.700 Å
α = 90.00°, β = 90.00°, γ = 120.00°
Sites, in units of the cell vectors:
Y  0.000  0.000  0.000
V  0.333  0.667  0.308
V  0.667  0.333  0.692
Pb  0.000  0.000  0.500
O  0.165  0.331  0.229
O  0.165  0.835  0.229
O  0.331  0.165  0.771
O  0.333  0.667  0.553
O  0.667  0.333  0.447
O  0.669  0.835  0.229
O  0.835  0.165  0.771
O  0.835  0.669  0.771